First-principles (PBEsol) data for a relaxed CoCuPb2 crystal, as listed in Alexandria.

Properties
symmetry: No. 71
formation energy from the elements: 0.51 eV per atom
distance to the lowest polymorph of the same formula: 0.173 eV per atom

Unit cell a=4.379 b=4.721 c=4.721 alpha=64.88 beta=62.37 gamma=62.37
Atoms (fractional coordinates):
Co: 0.000 0.500 0.500
Cu: 0.500 0.000 0.000
Pb: 0.252 0.748 0.748
Pb: 0.748 0.252 0.252

---

First-principles (PBEsol) data for a relaxed Ga2Ag2Se3S crystal, as listed in Alexandria.

Properties
symmetry: No. 5
formation energy without anion corrections: -438 meV per atom

Unit cell a=5.793 b=5.893 c=6.823 alpha=115.58 beta=114.92 gamma=90.00
Atoms (fractional coordinates):
S: 0.500 0.579 0.000
Ga: 0.376 0.501 0.249
Ga: 0.624 0.252 0.751
Se: 0.000 0.143 0.000
Se: 0.263 0.880 0.487
Se: 0.737 0.393 0.513
Ag: 0.829 0.986 0.230
Ag: 0.171 0.756 0.770

---

First-principles (PBEsol) data for a relaxed AlCo2As crystal, as listed in Alexandria.

Properties
symmetry: No. 44
formation energy from the elements: -0.21 eV per atom
distance to the lowest polymorph of the same formula: 0.060 eV per atom

Unit cell a=3.174 b=3.596 c=4.841 alpha=111.80 beta=109.14 gamma=90.00
Atoms (fractional coordinates):
As: 0.272 0.772 0.544
Co: 0.977 0.977 0.955
Co: 0.740 0.240 0.480
Al: 0.511 0.511 0.022